Entry 1:
Ba2SrBr2O2 after structural relaxation. Source: Alexandria via LeMat-Bulk, functional PBE.

Structure (POSCAR):
```
Ba2SrBr2O2
1.0
4.772 0.000 0.000
0.000 4.772 0.000
-2.386 -2.386 8.309
Ba Sr Br O
2 1 2 2
direct
0.395 0.395 0.790
0.605 0.605 0.210
0.000 0.000 0.000
0.186 0.186 0.373
0.814 0.814 0.627
0.000 0.500 0.000
0.500 0.000 0.000
```

Formation energy from raw total energies, meV per atom: -2381
Crystal system: tetragonal
DOS(E_F), states/eV/atom: 0.0000
Magnetization, μB/f.u.: 0.000
Symmetry: I4/mmm, No. 139

=====

Entry 2:
BaTcBrO4 after structural relaxation. Source: Alexandria via LeMat-Bulk, functional PBE.

Structure (POSCAR):
```
BaTcBrO4
1.0
7.013 -0.096 -0.161
2.232 6.649 -0.161
1.705 1.208 7.438
Ba Tc Br O
2 2 2 8
direct
0.219 0.219 0.858
0.781 0.781 0.142
0.632 0.632 0.744
0.368 0.368 0.256
0.035 0.035 0.243
0.965 0.965 0.757
0.302 0.302 0.483
0.698 0.698 0.517
0.154 0.495 0.151
0.525 0.525 0.223
0.505 0.846 0.849
0.495 0.154 0.151
0.475 0.475 0.777
0.846 0.505 0.849
```

Formation energy from raw total energies, meV per atom: -1870
Crystal system: monoclinic
Magnetization, μB/f.u.: 0.000
Symmetry: C2/m, No. 12

=====

Entry 3:
BaTc2BrO8 after structural relaxation. Source: Alexandria via LeMat-Bulk, functional PBE.

Structure (POSCAR):
```
BaTc2BrO8
1.0
-1.900 -3.935 6.173
-5.842 -4.554 -0.068
0.254 -6.992 0.255
Ba Tc Br O
1 2 1 8
direct
0.000 0.000 0.000
0.269 0.262 0.200
0.731 0.738 0.800
0.500 0.500 0.500
0.877 0.743 0.503
0.763 0.448 0.026
0.123 0.257 0.497
0.237 0.552 0.974
0.544 0.122 0.166
0.456 0.878 0.834
0.169 0.122 0.166
0.831 0.878 0.834
```

Formation energy from raw total energies, meV per atom: -1561
Crystal system: monoclinic
DOS(E_F), states/eV/atom: 0.0137
Magnetization, μB/f.u.: 1.009
Symmetry: C2/m, No. 12

=====

Entry 4:
BaTcBr2O after structural relaxation. Source: Alexandria via LeMat-Bulk, functional PBE.

Structure (POSCAR):
```
BaTcBr2O
1.0
4.707 0.000 0.000
0.000 7.068 0.000
0.000 0.000 4.707
O Ba Br Tc
1 1 2 1
direct
0.500 0.500 0.500
0.000 0.500 0.000
0.000 0.000 0.500
0.500 0.000 0.000
0.000 0.000 0.000
```

Formation energy from raw total energies, meV per atom: -103
Crystal system: tetragonal
DOS(E_F), states/eV/atom: 2.0335
Magnetization, μB/f.u.: 0.000
Symmetry: P4/mmm, No. 123

=====

Entry 5:
Ba2TcBr4O2 after structural relaxation. Source: Alexandria via LeMat-Bulk, functional PBE.

Structure (POSCAR):
```
Ba2TcBr4O2
1.0
5.356 -0.114 -0.078
1.084 6.877 -0.311
1.084 2.236 6.510
Ba Tc Br O
2 1 4 2
direct
0.176 0.698 0.698
0.824 0.302 0.302
0.500 0.000 0.000
0.289 0.621 0.169
0.711 0.831 0.379
0.711 0.379 0.831
0.289 0.169 0.621
0.244 0.124 0.124
0.756 0.876 0.876
```

Formation energy from raw total energies, meV per atom: -1614
Crystal system: monoclinic
Magnetization, μB/f.u.: 1.000
Symmetry: C2/m, No. 12

=====

Entry 6:
Ba2Te2BrO6 after structural relaxation. Source: Alexandria via LeMat-Bulk, functional PBE.

Structure (POSCAR):
```
Ba2Te2BrO6
1.0
6.923 0.701 -0.246
4.630 6.324 1.283
-0.429 -1.714 6.098
Ba Te Br O
2 2 1 6
direct
0.688 0.556 0.779
0.312 0.444 0.221
0.979 0.877 0.770
0.021 0.123 0.230
0.500 0.000 0.500
0.245 0.823 0.979
0.034 0.321 0.110
0.221 0.691 0.565
0.966 0.679 0.890
0.779 0.309 0.435
0.755 0.177 0.021
```

Formation energy from raw total energies, meV per atom: -1718
Crystal system: triclinic
DOS(E_F), states/eV/atom: 0.4477
Magnetization, μB/f.u.: 0.000
Symmetry: P-1, No. 2

=====

Entry 7:
Ba4Te2BrO2 after structural relaxation. Source: Alexandria via LeMat-Bulk, functional PBE.

Structure (POSCAR):
```
Ba4Te2BrO2
1.0
4.600 0.000 0.000
0.000 9.231 -0.344
-2.300 -3.953 8.064
Ba Te Br O
4 2 1 2
direct
0.226 0.142 0.451
0.774 0.858 0.549
0.528 0.758 0.057
0.472 0.242 0.943
0.106 0.557 0.211
0.894 0.443 0.789
0.000 0.000 0.000
0.675 0.982 0.350
0.325 0.018 0.650
```

Formation energy from raw total energies, meV per atom: -2029
Crystal system: monoclinic
DOS(E_F), states/eV/atom: 0.2175
Magnetization, μB/f.u.: 0.998
Symmetry: C2/m, No. 12

=====

Entry 8:
BaTeBrO3 after structural relaxation. Source: Alexandria via LeMat-Bulk, functional PBE.

Structure (POSCAR):
```
BaTeBrO3
1.0
6.204 -1.368 0.000
-0.044 5.182 0.000
-0.022 2.591 9.160
Ba Te Br O
2 2 2 6
direct
0.250 0.347 0.306
0.750 0.653 0.694
0.750 0.005 0.991
0.250 0.995 0.009
0.250 0.708 0.585
0.750 0.292 0.415
0.452 0.738 0.014
0.048 0.248 0.014
0.750 0.106 0.788
0.548 0.262 0.986
0.952 0.752 0.986
0.250 0.894 0.212
```

Formation energy from raw total energies, meV per atom: -1498
Crystal system: monoclinic
DOS(E_F), states/eV/atom: 0.0705
Magnetization, μB/f.u.: 0.000
Symmetry: C2/c, No. 15

=====

Entry 9:
BaTl2BrO after structural relaxation. Source: Alexandria via LeMat-Bulk, functional PBE.

Structure (POSCAR):
```
BaTl2BrO
1.0
-2.413 5.359 -1.226
-3.091 -0.647 3.253
3.670 2.567 3.998
O Tl Ba Br
1 2 1 1
direct
0.000 0.500 0.000
0.000 0.000 0.500
0.500 0.000 0.000
0.500 0.500 0.500
0.000 0.000 0.000
```

Formation energy from raw total energies, meV per atom: -68
Crystal system: tetragonal
DOS(E_F), states/eV/atom: 0.5200
Magnetization, μB/f.u.: 0.000
Symmetry: P4/mmm, No. 123

=====

Entry 10:
Ba2UBr2O4 after structural relaxation. Source: Alexandria via LeMat-Bulk, functional PBE.

Structure (POSCAR):
```
Ba2UBr2O4
1.0
6.555 0.010 0.015
-3.138 5.755 -0.015
-3.138 -2.036 5.383
Ba U Br O
2 1 2 4
direct
0.500 0.750 0.250
0.500 0.250 0.750
0.000 0.000 0.000
0.000 0.685 0.685
0.000 0.315 0.315
0.000 0.792 0.208
0.584 0.792 0.792
0.000 0.208 0.792
0.416 0.208 0.208
```

Formation energy from raw total energies, meV per atom: -2570
Crystal system: tetragonal
DOS(E_F), states/eV/atom: 0.0000
Magnetization, μB/f.u.: 0.000
Symmetry: I4/mmm, No. 139

=====

Entry 11:
Ba2UBr3O3 after structural relaxation. Source: Alexandria via LeMat-Bulk, functional PBE.

Structure (POSCAR):
```
Ba2UBr3O3
1.0
-3.405 0.472 -0.359
-0.471 -7.170 -4.966
-0.998 -0.610 8.656
Ba U Br O
2 1 3 3
direct
0.500 0.333 0.667
0.500 0.667 0.333
0.000 0.000 0.000
0.000 0.000 0.411
0.000 0.589 0.589
0.000 0.411 0.000
0.500 0.834 0.000
0.500 0.166 0.166
0.500 0.000 0.834
```

Formation energy from raw total energies, meV per atom: -2120
Crystal system: hexagonal
DOS(E_F), states/eV/atom: 0.3691
Magnetization, μB/f.u.: 0.681
Symmetry: P-62m, No. 189

=====

Entry 12:
Ba2YBr2O2 after structural relaxation. Source: Alexandria via LeMat-Bulk, functional PBE.

Structure (POSCAR):
```
Ba2YBr2O2
1.0
-2.957 2.734 -2.145
0.449 -2.492 -3.796
-5.161 -5.093 5.476
Ba Y Br O
2 1 2 2
direct
0.391 0.391 0.783
0.609 0.609 0.217
0.000 0.000 0.000
0.181 0.181 0.361
0.819 0.819 0.639
0.000 0.500 0.000
0.500 0.000 0.000
```

Formation energy from raw total energies, meV per atom: -2385
Crystal system: tetragonal
DOS(E_F), states/eV/atom: 0.5674
Magnetization, μB/f.u.: 0.701
Symmetry: I4/mmm, No. 139

=====

Entry 13:
Ba3Zn2Br2O4 after structural relaxation. Source: Alexandria via LeMat-Bulk, functional PBE.

Structure (POSCAR):
```
Ba3Zn2Br2O4
1.0
-1.805 -3.785 0.682
1.355 0.079 4.026
-10.636 7.671 1.187
Ba Zn Br O
3 2 2 4
direct
0.000 0.000 0.000
0.142 0.142 0.285
0.858 0.858 0.715
0.422 0.422 0.845
0.578 0.578 0.155
0.303 0.303 0.607
0.697 0.697 0.393
0.426 0.926 0.852
0.926 0.426 0.852
0.074 0.574 0.148
0.574 0.074 0.148
```

Formation energy from raw total energies, meV per atom: -1968
Crystal system: tetragonal
DOS(E_F), states/eV/atom: 0.0165
Magnetization, μB/f.u.: 0.000
Symmetry: I4/mmm, No. 139

=====

Entry 14:
BaOs2Br after structural relaxation. Source: Alexandria via LeMat-Bulk, functional PBE.

Structure (POSCAR):
```
BaOs2Br
1.0
-2.551 1.590 3.890
0.245 -2.436 4.263
2.349 1.986 3.835
Os Ba Br
2 1 1
direct
0.250 0.250 0.250
0.750 0.750 0.750
0.000 0.000 0.000
0.500 0.500 0.500
```

Formation energy from raw total energies, meV per atom: 1985
Crystal system: cubic
DOS(E_F), states/eV/atom: 1.7422
Magnetization, μB/f.u.: 0.001
Symmetry: Fm-3m, No. 225

=====

Entry 15:
BaOsBr4 after structural relaxation. Source: Alexandria via LeMat-Bulk, functional PBE.

Structure (POSCAR):
```
BaOsBr4
1.0
0.000 4.575 4.575
4.575 0.000 4.575
4.575 4.575 0.000
Ba Os Br
1 1 4
direct
0.000 0.000 0.000
0.750 0.750 0.750
0.873 0.376 0.376
0.376 0.376 0.873
0.376 0.873 0.376
0.376 0.376 0.376
```

Formation energy from raw total energies, meV per atom: 580
Crystal system: cubic
DOS(E_F), states/eV/atom: 1.7882
Magnetization, μB/f.u.: 6.047
Symmetry: F-43m, No. 216

=====

Entry 16:
BaOs2Br after structural relaxation. Source: Alexandria via LeMat-Bulk, functional PBE.

Structure (POSCAR):
```
BaOs2Br
1.0
-1.822 -2.529 0.614
2.351 -1.037 2.705
-4.548 4.671 5.744
Os Ba Br
2 1 1
direct
0.000 0.000 0.102
0.500 0.500 0.191
0.000 0.000 0.486
0.500 0.500 0.721
```

Formation energy from raw total energies, meV per atom: 355
Crystal system: orthorhombic
DOS(E_F), states/eV/atom: 0.8146
Magnetization, μB/f.u.: 0.001
Symmetry: Pmm2, No. 25

=====

Entry 17:
BaOsBr after structural relaxation. Source: Alexandria via LeMat-Bulk, functional PBE.

Structure (POSCAR):
```
BaOsBr
1.0
-4.867 1.900 -0.578
-3.579 -0.748 3.776
-1.606 4.052 2.938
Os Ba Br
1 1 1
direct
0.000 0.000 0.000
0.500 0.500 0.500
0.750 0.750 0.750
```

Formation energy from raw total energies, meV per atom: 866
Crystal system: cubic
DOS(E_F), states/eV/atom: 0.7932
Magnetization, μB/f.u.: 3.003
Symmetry: F-43m, No. 216

=====

Entry 18:
BaOsBr3 after structural relaxation. Source: Alexandria via LeMat-Bulk, functional PBE.

Structure (POSCAR):
```
BaOsBr3
1.0
-0.279 -1.752 -4.860
1.868 -4.572 1.541
-4.816 -1.671 0.879
Ba Os Br
1 1 3
direct
0.500 0.500 0.500
0.000 0.000 0.000
0.000 0.500 0.000
0.000 0.000 0.500
0.500 0.000 0.000
```

Formation energy from raw total energies, meV per atom: -417
Crystal system: cubic
DOS(E_F), states/eV/atom: 0.3005
Magnetization, μB/f.u.: 0.000
Symmetry: Pm-3m, No. 221

=====

Entry 19:
BaOs3Br after structural relaxation. Source: Alexandria via LeMat-Bulk, functional PBE.

Structure (POSCAR):
```
BaOs3Br
1.0
5.269 0.000 0.000
0.000 5.269 0.000
0.000 0.000 5.269
Os Ba Br
3 1 1
direct
0.000 0.500 0.000
0.000 0.000 0.500
0.500 0.000 0.000
0.000 0.000 0.000
0.500 0.500 0.500
```

Formation energy from raw total energies, meV per atom: 3718
Crystal system: cubic
DOS(E_F), states/eV/atom: 1.2338
Magnetization, μB/f.u.: 6.877
Symmetry: Pm-3m, No. 221

=====

Entry 20:
BaOs2Br after structural relaxation. Source: Alexandria via LeMat-Bulk, functional PBE.

Structure (POSCAR):
```
BaOs2Br
1.0
3.098 -0.002 0.000
-1.546 2.684 0.000
0.000 0.000 9.776
Os Ba Br
2 1 1
direct
0.000 0.000 0.974
0.000 0.000 0.526
0.500 0.500 0.250
0.500 0.500 0.750
```

Formation energy from raw total energies, meV per atom: 1658
Crystal system: orthorhombic
DOS(E_F), states/eV/atom: 1.1615
Magnetization, μB/f.u.: 0.000
Symmetry: Cmmm, No. 65